1.
Crystalline Ti4Mn5V3 at its relaxed geometry, computed with PBE-GGA.

Cell: 4.8664 4.8664 7.8824 Å, 90.00 90.00 120.14°
Element x y z (fractional)
Mn: 0.6519 0.8266 0.0000
Mn: 0.3408 0.1743 0.5000
Mn: 0.1734 0.3481 0.0000
Mn: 0.8257 0.6592 0.5000
Mn: 0.1728 0.8272 0.0000
V: 0.0038 0.9962 0.2428
V: 0.0038 0.9962 0.7572
V: 0.8273 0.1727 0.5000
Ti: 0.3341 0.6659 0.3094
Ti: 0.6661 0.3339 0.8161
Ti: 0.6661 0.3339 0.1839
Ti: 0.3341 0.6659 0.6906

Computed properties:
**Formation enthalpy at 0 K**: -0.23 eV/atom
**Total energy**: -8.96 eV per atom

***

2.
Crystalline SrSnBr6 at its relaxed geometry, computed with PBE-GGA.

Cell: 8.5838 7.0918 7.3253 Å, 97.95 107.47 126.17°
Element x y z (fractional)
Br: 0.4410 0.1655 0.2981
Br: 0.5590 0.8345 0.7019
Br: 0.8571 0.1327 0.2981
Br: 0.1429 0.8673 0.7019
Br: 0.7444 0.4639 0.0000
Br: 0.2556 0.5361 0.0000
Sn: 0.5000 0.0000 0.0000
Sr: 0.0000 0.0000 0.0000

Computed properties:
**Total energy**: -3.09 eV per atom
**Formation energy without anion corrections**: -1123 meV/atom